Here is crystalline KAcZnF6 at its relaxed geometry from the Alexandria database. Energies are from PBE.

Summary:
* magnetization: 0.00 μB/cell
* ΔE_f (raw): -28.72 eV/f.u.
* raw total energy: -5.159 eV per atom

a = 6.1830 Å, b = 6.1830 Å, c = 10.0151 Å
α = 90.00°, β = 90.00°, γ = 120.00°
Last column: nearest neighbours and their distance in Å.
Fractional coordinates of all 18 atoms:
K1 0.0000 0.0000 0.0000  6 F 2.68
K2 0.0000 0.0000 0.5000  6 F 2.68
Ac1 0.3333 0.6667 0.2500  6 F 2.44
Ac2 0.6667 0.3333 0.7500  6 F 2.44
Zn1 0.3333 0.6667 0.7500  6 F 2.08
Zn2 0.6667 0.3333 0.2500  6 F 2.08
F1 0.0420 0.3886 0.6390  1 Zn 2.08
F2 0.0420 0.6533 0.8610  1 Zn 2.08
F3 0.3467 0.3886 0.8610  1 Zn 2.08
F4 0.3467 0.9580 0.6390  1 Zn 2.08
F5 0.3886 0.0420 0.1390  1 Zn 2.08
F6 0.3886 0.3467 0.3610  1 Zn 2.08
F7 0.6114 0.6533 0.6390  1 Zn 2.08
F8 0.6114 0.9580 0.8610  1 Zn 2.08
F9 0.6533 0.0420 0.3610  1 Zn 2.08
F10 0.6533 0.6114 0.1390  1 Zn 2.08
F11 0.9580 0.3467 0.1390  1 Zn 2.08
F12 0.9580 0.6114 0.3610  1 Zn 2.08